[1]
DFT (PBE-GGA) results for crystalline EuHoHg4 at its relaxed geometry.

abc: 6.0232 6.0232 6.0232
angles: 60.00 60.00 60.00
Sites, in units of the cell vectors:
Ho  0.0000  0.0000  0.0000
Eu  0.2500  0.2500  0.2500
Hg  0.6252  0.6252  0.6252
Hg  0.1244  0.6252  0.6252
Hg  0.6252  0.6252  0.1244
Hg  0.6252  0.1244  0.6252

Output
The calculated formation energy is -0.2350 eV/atom. For the spin magnetization, the calculation gives 1.191 μB/atom. Its space-group type is F-43m (216).

***

[2]
DFT (PBE-GGA) results for crystalline Tb12Er6Sc at its relaxed geometry.

abc: 8.4651 8.4651 8.4651
angles: 88.71 88.71 88.71
Sites, in units of the cell vectors:
Tb  0.8061  0.6418  0.9854
Er  0.7412  0.9044  0.2984
Tb  0.4611  0.5640  0.2209
Tb  0.9854  0.8061  0.6418
Er  0.2588  0.0956  0.7016
Sc  0.0000  0.0000  0.0000
Er  0.9044  0.2984  0.7412
Tb  0.7791  0.5389  0.4360
Tb  0.3582  0.0146  0.1939
Tb  0.0146  0.1939  0.3582
Tb  0.2209  0.4611  0.5640
Er  0.7016  0.2588  0.0956
Tb  0.5389  0.4360  0.7791
Er  0.2984  0.7412  0.9044
Er  0.0956  0.7016  0.2588
Tb  0.1939  0.3582  0.0146
Tb  0.4360  0.7791  0.5389
Tb  0.5640  0.2209  0.4611
Tb  0.6418  0.9854  0.8061

Output
The calculated formation energy is 0.1535 eV/atom. For the spin magnetization, the calculation gives 0.000 μB/atom. As for the energy above the most stable polymorph in this dataset: 0.000 eV/atom. Its space-group type is R-3 (148).

***

[3]
DFT (PBE-GGA) results for crystalline TlTe2Pb at its relaxed geometry.

abc: 4.4991 4.4991 8.4325
angles: 74.53 74.53 60.00
Sites, in units of the cell vectors:
Te  0.0794  0.0794  0.7619
Te  0.2541  0.2541  0.2378
Pb  0.6678  0.6678  0.9967
Tl  0.4988  0.4988  0.5036

Output
The formation energy without anion corrections comes out at -0.24 eV per atom. For the spin magnetization, the calculation gives 0.000 μB/atom. Its space-group type is R3m (160).

***

[4]
DFT (PBE-GGA) results for crystalline LiLuCdGa at its relaxed geometry.

abc: 4.8659 4.8659 4.8659
angles: 60.00 60.00 60.00
Sites, in units of the cell vectors:
Lu  0.5000  0.5000  0.5000
Li  0.0000  0.0000  0.0000
Cd  0.7500  0.7500  0.7500
Ga  0.2500  0.2500  0.2500

Output
The calculated formation energy is -0.3395 eV/atom. For the spin magnetization, the calculation gives 0.000 μB/atom. Its space-group type is F-43m (216).

***

[5]
DFT (PBE-GGA) results for crystalline NpP3 at its relaxed geometry.

abc: 4.0031 4.0031 4.0023
angles: 90.00 90.00 90.00
Sites, in units of the cell vectors:
P  0.5000  0.5000  0.0828
P  0.5000  0.0000  0.5835
P  0.0000  0.5000  0.5834
Np  0.0000  0.0000  0.0836

Output
The calculated formation energy is -0.3316 eV/atom. For the spin magnetization, the calculation gives 0.694 μB/atom. Its space-group type is Pm-3m (221).

***

[6]
DFT (PBE-GGA) results for crystalline LiPdN at its relaxed geometry.

abc: 2.8959 3.9760 12.7830
angles: 90.00 90.00 90.00
Sites, in units of the cell vectors:
N  0.0000  0.8492  0.7815
Li  0.5000  0.0000  0.2268
Pd  0.0000  0.0000  0.4094
Li  0.0000  0.0000  0.6128
Li  0.0000  0.5000  0.1128
N  0.0000  0.1508  0.7815
Pd  0.5000  0.0000  0.0209
Pd  0.5000  0.5000  0.5209
N  0.0000  0.6508  0.2815
Pd  0.0000  0.5000  0.9094
Li  0.5000  0.5000  0.7268
N  0.0000  0.3492  0.2815

Output
The formation energy without anion corrections comes out at -0.14 eV per atom. For the spin magnetization, the calculation gives 0.000 μB/atom. As for the energy above the most stable polymorph in this dataset: 0.093 eV/atom. Its space-group type is Amm2 (38).

***

[7]
DFT (PBE-GGA) results for crystalline Hf2AlB2Ru5 at its relaxed geometry.

abc: 3.0725 9.3455 9.3455
angles: 90.00 90.00 90.00
Sites, in units of the cell vectors:
Ru  0.5000  0.9298  0.2151
Al  0.0000  0.5000  0.5000
Ru  0.5000  0.0000  0.5000
B  0.0000  0.1250  0.6250
Ru  0.5000  0.5000  0.0000
Ru  0.5000  0.7849  0.9298
Hf  0.0000  0.1757  0.3243
Hf  0.0000  0.3243  0.8243
B  0.0000  0.3750  0.1250
Al  0.0000  0.0000  0.0000
B  0.0000  0.8750  0.3750
Ru  0.5000  0.0702  0.7849
Ru  0.5000  0.2151  0.0702
Ru  0.5000  0.7151  0.4298
Ru  0.5000  0.4298  0.2849
Ru  0.5000  0.2849  0.5702
B  0.0000  0.6250  0.8750
Ru  0.5000  0.5702  0.7151
Hf  0.0000  0.8243  0.6757
Hf  0.0000  0.6757  0.1757

Output
The calculated formation energy is -0.7142 eV/atom. For the spin magnetization, the calculation gives 0.000 μB/atom. Its space-group type is P4/mbm (127).

***

[8]
DFT (PBE-GGA) results for crystalline GaSbAsI2 at its relaxed geometry.

abc: 5.8365 5.8365 5.4007
angles: 90.00 90.00 90.00
Sites, in units of the cell vectors:
I  0.5000  0.0000  0.0000
Sb  0.0000  0.0000  0.5000
As  0.0000  0.0000  0.0000
I  0.0000  0.5000  0.0000
Ga  0.5000  0.5000  0.5000

Output
The formation energy without anion corrections comes out at 0.32 eV per atom. For the spin magnetization, the calculation gives 0.000 μB/atom. As for the energy above the most stable polymorph in this dataset: 0.000 eV/atom. Its space-group type is P4/mmm (123).

***

[9]
DFT (PBE-GGA) results for crystalline LiMgRh2 at its relaxed geometry.

abc: 8.6038 8.6038 8.6038
angles: 18.87 18.87 18.87
Sites, in units of the cell vectors:
Rh  0.9998  0.9998  0.9998
Li  0.2500  0.2500  0.2500
Rh  0.5002  0.5002  0.5002
Mg  0.7500  0.7500  0.7500

Output
The calculated formation energy is -0.2184 eV/atom. For the spin magnetization, the calculation gives 0.127 μB/atom. Its space-group type is R-3m (166).

***

[10]
DFT (PBE-GGA) results for crystalline Rb2InFe at its relaxed geometry.

abc: 13.2169 13.2169 9.6873
angles: 46.99 46.99 90.00
Sites, in units of the cell vectors:
Rb  0.3750  0.5603  0.7500
Fe  0.2500  0.7500  0.5000
Rb  0.3103  0.6250  0.2500
Rb  0.8750  0.6897  0.7500
Rb  0.4397  0.1250  0.2500
Fe  0.5000  0.5000  0.0000
In  0.0000  0.0000  0.0000
In  0.7500  0.2500  0.5000

Output
The calculated formation energy is 0.6148 eV/atom. For the spin magnetization, the calculation gives 0.478 μB/atom. Its space-group type is I-42d (122).

***

[11]
DFT (PBE-GGA) results for crystalline Er3Zn2Pt at its relaxed geometry.

abc: 4.9499 4.9499 6.0838
angles: 90.00 90.00 120.00
Sites, in units of the cell vectors:
Er  0.3333  0.6667  0.1555
Zn  0.6667  0.3333  0.3551
Er  0.6667  0.3333  0.8445
Er  0.0000  0.0000  0.5000
Zn  0.3333  0.6667  0.6449
Pt  0.0000  0.0000  0.0000

Output
The calculated formation energy is -0.6821 eV/atom. For the spin magnetization, the calculation gives 0.000 μB/atom. As for the energy above the most stable polymorph in this dataset: 0.000 eV/atom. Its space-group type is P-3m1 (164).

***

[12]
DFT (PBE-GGA) results for crystalline Ac5Pm2Y4 at its relaxed geometry.

abc: 3.7579 9.0806 14.9742
angles: 121.57 97.21 90.00
Sites, in units of the cell vectors:
Y  0.9631  0.2745  0.9261
Ac  0.8185  0.1123  0.6370
Ac  0.5000  0.0000  0.0000
Y  0.2740  0.3763  0.5480
Ac  0.8663  0.7782  0.7325
Pm  0.5856  0.4822  0.1711
Pm  0.4144  0.5178  0.8289
Y  0.7260  0.6237  0.4520
Ac  0.1815  0.8877  0.3630
Ac  0.1337  0.2218  0.2675
Y  0.0369  0.7255  0.0739

Output
The calculated formation energy is 0.1226 eV/atom. For the spin magnetization, the calculation gives 0.000 μB/atom. Its space-group type is C2/m (12).

***

[13]
DFT (PBE-GGA) results for crystalline Cs5Rb2AgAu2 at its relaxed geometry.

abc: 5.0023 15.4735 15.4735
angles: 90.00 90.00 90.00
Sites, in units of the cell vectors:
Cs  0.5000  0.7032  0.4410
Cs  0.5000  0.5000  0.0000
Au  0.0000  0.6353  0.8647
Rb  0.0000  0.8095  0.6905
Au  0.0000  0.8647  0.3647
Cs  0.5000  0.2032  0.0590
Cs  0.5000  0.4410  0.2968
Ag  0.0000  0.0000  0.0000
Cs  0.5000  0.5590  0.7032
Cs  0.5000  0.9410  0.2032
Au  0.0000  0.3647  0.1353
Au  0.0000  0.1353  0.6353
Cs  0.5000  0.0590  0.7968
Cs  0.5000  0.2968  0.5590
Rb  0.0000  0.6905  0.1905
Rb  0.0000  0.3095  0.8095
Cs  0.5000  0.0000  0.5000
Rb  0.0000  0.1905  0.3095
Cs  0.5000  0.7968  0.9410
Ag  0.0000  0.5000  0.5000

Output
The calculated formation energy is -0.1079 eV/atom. For the spin magnetization, the calculation gives 0.000 μB/atom. Its space-group type is P4/mbm (127).

***

[14]
DFT (PBE-GGA) results for crystalline Fe2PI2 at its relaxed geometry.

abc: 6.0324 6.0324 5.2676
angles: 90.00 90.00 90.00
Sites, in units of the cell vectors:
I  0.6825  0.8175  0.5000
Fe  0.6687  0.8313  0.0000
I  0.8175  0.3175  0.5000
Fe  0.1687  0.6687  0.0000
I  0.3175  0.1825  0.5000
Fe  0.8313  0.3313  0.0000
P  0.5000  0.5000  0.0000
I  0.1825  0.6825  0.5000
P  0.0000  0.0000  0.0000
Fe  0.3313  0.1687  0.0000

Output
The formation energy without anion corrections comes out at 0.65 eV per atom. For the spin magnetization, the calculation gives 0.000 μB/atom. Its space-group type is P4/mbm (127).

***

[15]
DFT (PBE-GGA) results for crystalline NaSi3Ir3 at its relaxed geometry.

abc: 6.5834 6.5834 6.5834
angles: 90.00 90.00 90.00
Sites, in units of the cell vectors:
Ir  0.7500  0.0000  0.5000
Si  0.5000  0.0000  0.2500
Si  0.2500  0.5000  0.0000
Ir  0.5000  0.7500  0.0000
Ir  0.0000  0.5000  0.2500
Si  0.5000  0.0000  0.7500
Ir  0.0000  0.5000  0.7500
Ir  0.2500  0.0000  0.5000
Si  0.0000  0.2500  0.5000
Na  0.5000  0.5000  0.5000
Ir  0.5000  0.2500  0.0000
Na  0.0000  0.0000  0.0000
Si  0.0000  0.7500  0.5000
Si  0.7500  0.5000  0.0000

Output
The formation energy without anion corrections comes out at -0.27 eV per atom. For the spin magnetization, the calculation gives 0.000 μB/atom. Its space-group type is Pm-3n (223).

***

[16]
DFT (PBE-GGA) results for crystalline GaAgGe2O6 at its relaxed geometry.

abc: 5.5794 7.6007 7.6007
angles: 94.03 74.89 74.89
Sites, in units of the cell vectors:
Ga  0.2500  0.2212  0.7788
O  0.4351  0.8134  0.3880
O  0.9351  0.3880  0.8134
Ge  0.1857  0.3856  0.2214
O  0.0454  0.6920  0.6192
Ge  0.8143  0.6144  0.7786
O  0.0649  0.6120  0.1866
O  0.9546  0.3080  0.3808
O  0.3151  0.2308  0.0105
O  0.6849  0.7692  0.9895
O  0.1849  0.9895  0.7692
O  0.5649  0.1866  0.6120
Ge  0.6857  0.2214  0.3856
Ag  0.2500  0.9030  0.0970
Ge  0.3143  0.7786  0.6144
Ga  0.7500  0.7788  0.2212
O  0.8151  0.0105  0.2308
Ag  0.7500  0.0970  0.9030
O  0.5454  0.6192  0.6920
O  0.4546  0.3808  0.3080

Output
The formation energy without anion corrections comes out at -1.42 eV per atom. For the spin magnetization, the calculation gives 0.000 μB/atom. Its space-group type is C2/c (15).

***

[17]
DFT (PBE-GGA) results for crystalline MgMn4Tc at its relaxed geometry.

abc: 4.7403 4.7403 4.7403
angles: 60.00 60.00 60.00
Sites, in units of the cell vectors:
Tc  0.7500  0.7500  0.7500
Mn  0.3747  0.8760  0.3747
Mg  0.0000  0.0000  0.0000
Mn  0.8760  0.3747  0.3747
Mn  0.3747  0.3747  0.8760
Mn  0.3747  0.3747  0.3747

Output
The calculated formation energy is 0.1012 eV/atom. For the spin magnetization, the calculation gives 0.540 μB/atom. Its space-group type is F-43m (216).

***

[18]
DFT (PBE-GGA) results for crystalline TmCdNi2 at its relaxed geometry.

abc: 4.5520 4.5520 4.5520
angles: 60.00 60.00 60.00
Sites, in units of the cell vectors:
Ni  0.2500  0.2500  0.2500
Cd  0.5000  0.5000  0.5000
Ni  0.7500  0.7500  0.7500
Tm  0.0000  0.0000  0.0000

Output
The calculated formation energy is -0.2765 eV/atom. For the spin magnetization, the calculation gives 0.000 μB/atom. As for the energy above the most stable polymorph in this dataset: 0.000 eV/atom. Its space-group type is Fm-3m (225).

***

[19]
DFT (PBE-GGA) results for crystalline Li3Tb2CeS6 at its relaxed geometry.

abc: 6.8868 6.8868 6.5877
angles: 99.99 99.99 120.02
Sites, in units of the cell vectors:
S  0.7446  0.7446  0.2538
S  0.0839  0.4237  0.2528
Tb  0.6664  0.3336  0.0000
Li  0.5000  0.5000  0.5000
S  0.5763  0.9161  0.7472
S  0.2554  0.2554  0.7462
S  0.4237  0.0839  0.2528
S  0.9161  0.5763  0.7472
Ce  0.0000  0.0000  0.0000
Tb  0.3336  0.6664  0.0000
Li  0.1705  0.8295  0.5000
Li  0.8295  0.1705  0.5000

Output
The formation energy without anion corrections comes out at -1.80 eV per atom. For the spin magnetization, the calculation gives 0.081 μB/atom. Its space-group type is C2/m (12).

***

[20]
DFT (PBE-GGA) results for crystalline Cs7K3 at its relaxed geometry.

abc: 8.0500 10.2358 13.6740
angles: 109.25 107.12 90.00
Sites, in units of the cell vectors:
K  0.0000  0.0000  0.0000
K  0.8015  0.2319  0.6029
Cs  0.0000  0.5000  0.0000
Cs  0.6071  0.8916  0.2142
K  0.1985  0.7681  0.3971
Cs  0.7989  0.7333  0.5978
Cs  0.3983  0.6179  0.7965
Cs  0.2011  0.2667  0.4022
Cs  0.3929  0.1084  0.7858
Cs  0.6017  0.3821  0.2035

Output
The calculated formation energy is 0.0071 eV/atom. For the spin magnetization, the calculation gives 0.000 μB/atom. As for the energy above the most stable polymorph in this dataset: 0.000 eV/atom. Its space-group type is C2/m (12).

***

[21]
DFT (PBE-GGA) results for crystalline Li4BeSe at its relaxed geometry.

abc: 5.1561 5.1561 5.1561
angles: 60.00 60.00 60.00
Sites, in units of the cell vectors:
Li  0.3746  0.3746  0.8762
Be  0.0000  0.0000  0.0000
Li  0.8762  0.3746  0.3746
Li  0.3746  0.3746  0.3746
Se  0.7500  0.7500  0.7500
Li  0.3746  0.8762  0.3746

Output
The formation energy without anion corrections comes out at 0.15 eV per atom. For the spin magnetization, the calculation gives 0.064 μB/atom. Its space-group type is F-43m (216).

***

[22]
DFT (PBE-GGA) results for crystalline BaNdC3N6 at its relaxed geometry.

abc: 6.5733 6.5733 6.5733
angles: 73.93 106.07 73.93
Sites, in units of the cell vectors:
N  0.9352  0.0555  0.6347
C  0.0563  0.4481  0.0474
N  0.6347  0.0648  0.9445
N  0.1678  0.5309  0.1599
C  0.0474  0.9437  0.5519
N  0.4691  0.8401  0.1678
N  0.1599  0.8322  0.4691
C  0.5519  0.9526  0.0563
Nd  0.0519  0.9481  0.0519
Ba  0.5519  0.4481  0.5519
N  0.9445  0.3653  0.9352

Output
The formation energy without anion corrections comes out at -0.46 eV per atom. For the spin magnetization, the calculation gives 0.096 μB/atom. Its space-group type is R32 (155).

***

[23]
DFT (PBE-GGA) results for crystalline GaGePdRu at its relaxed geometry.

abc: 4.3576 4.3576 4.3576
angles: 60.00 60.00 60.00
Sites, in units of the cell vectors:
Ga  0.5000  0.5000  0.5000
Ru  0.7500  0.7500  0.7500
Pd  0.2500  0.2500  0.2500
Ge  0.0000  0.0000  0.0000

Output
The calculated formation energy is -0.2660 eV/atom. For the spin magnetization, the calculation gives 0.000 μB/atom. Its space-group type is F-43m (216).